1.
AgSe2BrO after structural relaxation. Source: Alexandria, functional GGA-PBE. Values from VASP.

As for the space group: P4/mmm, No. 123.

Cell and atoms, written as Quantum ESPRESSO input:
```
&SYSTEM
  ibrav = 0, nat = 5, ntyp = 4
/
ATOMIC_SPECIES
Se 78.96 Se.upf
Ag 107.87 Ag.upf
O 16.00 O.upf
Br 79.90 Br.upf
ATOMIC_POSITIONS crystal
Se 0.0000 0.5000 0.0000
Se 0.5000 0.0000 0.0000
Ag 0.5000 0.5000 0.5000
O 0.0000 0.0000 0.0000
Br 0.0000 0.0000 0.5000
CELL_PARAMETERS angstrom
-2.1844 -3.2782 1.1640
3.3707 -1.6547 1.6654
-1.5823 3.3861 6.5671
```


2.
AgSe2BrO after structural relaxation. Source: Alexandria, functional GGA-PBE. Values from VASP.

As for the space group: P4/mmm, No. 123.

Cell and atoms, written as Quantum ESPRESSO input:
```
&SYSTEM
  ibrav = 0, nat = 5, ntyp = 4
/
ATOMIC_SPECIES
Se 78.96 Se.upf
Br 79.90 Br.upf
O 16.00 O.upf
Ag 107.87 Ag.upf
ATOMIC_POSITIONS crystal
Se 0.0000 0.5000 0.0000
Se 0.5000 0.0000 0.0000
Br 0.0000 0.0000 0.5000
O 0.5000 0.5000 0.5000
Ag 0.0000 0.0000 0.0000
CELL_PARAMETERS angstrom
5.1430 0.0000 0.0000
0.0000 5.1430 0.0000
0.0000 0.0000 5.1455
```


Stability ranking, top entry: 1; the second entry is 936 meV/atom less favorable.


1.
AgOs2Br after structural relaxation. Source: Alexandria, functional GGA-PBE. Values from VASP.

As for the space group: Cmmm, No. 65.

Cell and atoms, written as Quantum ESPRESSO input:
```
&SYSTEM
  ibrav = 0, nat = 4, ntyp = 3
/
ATOMIC_SPECIES
Ag 107.87 Ag.upf
Os 190.23 Os.upf
Br 79.90 Br.upf
ATOMIC_POSITIONS crystal
Ag 0.5000 0.0000 0.5000
Os 0.0000 0.0000 0.0000
Os 0.5000 0.5000 0.0000
Br 0.0000 0.5000 0.5000
CELL_PARAMETERS angstrom
4.8816 0.0091 0.0000
-1.4394 4.6646 0.0000
0.0000 0.0000 2.8637
```


2.
AgOs2Br after structural relaxation. Source: Alexandria, functional GGA-PBE. Values from VASP.

As for the space group: Cmm2, No. 35.

Cell and atoms, written as Quantum ESPRESSO input:
```
&SYSTEM
  ibrav = 0, nat = 4, ntyp = 3
/
ATOMIC_SPECIES
Os 190.23 Os.upf
Br 79.90 Br.upf
Ag 107.87 Ag.upf
ATOMIC_POSITIONS crystal
Os 0.0000 0.0000 0.0309
Os 0.5000 0.5000 0.2339
Br 0.5000 0.5000 0.7585
Ag 0.0000 0.0000 0.4766
CELL_PARAMETERS angstrom
-0.7533 2.6989 -0.3222
-1.4731 -1.6783 1.7229
6.1810 2.6662 7.8823
```


3.
AgOs2Br after structural relaxation. Source: Alexandria, functional GGA-PBE. Values from VASP.

As for the space group: R-3m, No. 166.

Cell and atoms, written as Quantum ESPRESSO input:
```
&SYSTEM
  ibrav = 0, nat = 4, ntyp = 3
/
ATOMIC_SPECIES
Os 190.23 Os.upf
Br 79.90 Br.upf
Ag 107.87 Ag.upf
ATOMIC_POSITIONS crystal
Os 0.0031 0.0031 0.0031
Os 0.4969 0.4969 0.4969
Br 0.7500 0.7500 0.7500
Ag 0.2500 0.2500 0.2500
CELL_PARAMETERS angstrom
-0.9108 8.9668 -1.5561
-1.2958 7.9993 -4.2411
-3.5177 8.0911 -2.4112
```


Stability ranking, top entry: 2; the second entry is 294 meV/atom less favorable.